(1)
The following is a DFT calculation (GGA-PBE) of a geometry-optimized Pm8In2Pt structure.

abc: 10.075 10.075 6.903
angles: 104.12 104.12 29.79
Fractional positions:
1 Pm 0.017 0.017 0.280
2 Pm 0.212 0.212 0.810
3 Pm 0.351 0.351 0.516
4 Pm 0.409 0.409 0.043
5 Pm 0.591 0.591 0.957
6 Pm 0.649 0.649 0.484
7 Pm 0.788 0.788 0.190
8 Pm 0.983 0.983 0.720
9 In 0.183 0.183 0.249
10 In 0.817 0.817 0.751
11 Pt 0.500 0.500 0.500

Summary:
For the total energy, the calculation gives -4.8771 eV per atom. The value obtained for the formation energy is -36.2 kJ per mole of atoms. Its density of states at the Fermi level is 11.494 states/eV/f.u. Its space group is C2/m (12).

(2)
The following is a DFT calculation (GGA-PBE) of a geometry-optimized La2CdH12Rh3 structure.

abc: 6.118 6.118 6.118
angles: 63.57 63.57 63.57
Fractional positions:
1 La 0.115 0.115 0.115
2 La 0.885 0.885 0.885
3 Cd 0.500 0.500 0.500
4 H 0.100 0.623 0.623
5 H 0.181 0.181 0.626
6 H 0.181 0.626 0.181
7 H 0.374 0.819 0.819
8 H 0.377 0.377 0.900
9 H 0.377 0.900 0.377
10 H 0.623 0.100 0.623
11 H 0.623 0.623 0.100
12 H 0.626 0.181 0.181
13 H 0.819 0.374 0.819
14 H 0.819 0.819 0.374
15 H 0.900 0.377 0.377
16 Rh 0.000 0.500 0.500
17 Rh 0.500 0.000 0.500
18 Rh 0.500 0.500 0.000

Summary:
For the total energy, the calculation gives -4.3145 eV per atom. Its density of states at the Fermi level is 6.494 states/eV/f.u. Its space group is R-3m (166).

(3)
The following is a DFT calculation (GGA-PBE) of a geometry-optimized Li3Ce3TiS8 structure.

abc: 7.626 7.626 7.626
angles: 62.30 62.30 62.30
Fractional positions:
1 Li 0.000 0.500 0.500
2 Li 0.500 0.000 0.500
3 Li 0.500 0.500 0.000
4 Ce 0.000 0.000 0.500
5 Ce 0.000 0.500 0.000
6 Ce 0.500 0.000 0.000
7 Ti 0.500 0.500 0.500
8 S 0.254 0.254 0.254
9 S 0.270 0.270 0.723
10 S 0.270 0.723 0.270
11 S 0.277 0.730 0.730
12 S 0.723 0.270 0.270
13 S 0.730 0.277 0.730
14 S 0.730 0.730 0.277
15 S 0.746 0.746 0.746

Summary:
For the uncorrected formation energy, the calculation gives -1.64 eV per atom. For the total energy, the calculation gives -5.9370 eV per atom. Its density of states at the Fermi level is 20.374 states/eV/f.u. Its space group is R-3m (166).

(4)
The following is a DFT calculation (GGA-PBE) of a geometry-optimized ErPuInRh structure.

abc: 7.190 7.190 7.190
angles: 90.00 90.00 90.00
Fractional positions:
1 Er 0.000 0.000 0.000
2 Er 0.000 0.500 0.500
3 Er 0.500 0.000 0.500
4 Er 0.500 0.500 0.000
5 Pu 0.000 0.000 0.500
6 Pu 0.000 0.500 0.000
7 Pu 0.500 0.000 0.000
8 Pu 0.500 0.500 0.500
9 In 0.250 0.250 0.250
10 In 0.250 0.750 0.750
11 In 0.750 0.250 0.750
12 In 0.750 0.750 0.250
13 Rh 0.250 0.250 0.750
14 Rh 0.250 0.750 0.250
15 Rh 0.750 0.250 0.250
16 Rh 0.750 0.750 0.750

Summary:
For the total energy, the calculation gives -7.5677 eV per atom. The value obtained for the formation energy is -31.0 kJ per mole of atoms. Its density of states at the Fermi level is 8.315 states/eV/f.u. Its space group is F-43m (216).

(5)
The following is a DFT calculation (GGA-PBE) of a geometry-optimized AlRuBr2 structure.

abc: 3.957 3.957 10.127
angles: 90.00 90.00 90.00
Fractional positions:
1 Al 0.000 0.000 0.000
2 Al 0.500 0.500 0.500
3 Ru 0.000 0.500 0.250
4 Ru 0.500 0.000 0.750
5 Br 0.000 0.000 0.500
6 Br 0.000 0.500 0.750
7 Br 0.500 0.000 0.250
8 Br 0.500 0.500 0.000

Summary:
The calculation puts the polymorph energy (0 for the lowest one) at 906 meV per atom. For the uncorrected formation energy, the calculation gives 0.70 eV per atom. For the total energy, the calculation gives -3.3923 eV per atom. Its density of states at the Fermi level is 3.088 states/eV/f.u. Its space group is I-4m2 (119).

(6)
The following is a DFT calculation (GGA-PBE) of a geometry-optimized Pr2Ho9Th structure.

abc: 5.032 5.032 15.120
angles: 90.00 90.00 90.00
Fractional positions:
1 Pr 0.000 0.000 0.168
2 Pr 0.000 0.000 0.832
3 Ho 0.000 0.500 0.000
4 Ho 0.000 0.500 0.337
5 Ho 0.000 0.500 0.663
6 Ho 0.500 0.000 0.000
7 Ho 0.500 0.000 0.337
8 Ho 0.500 0.000 0.663
9 Ho 0.500 0.500 0.167
10 Ho 0.500 0.500 0.500
11 Ho 0.500 0.500 0.833
12 Th 0.000 0.000 0.500

Summary:
For the total energy, the calculation gives -4.8221 eV per atom. The value obtained for the formation energy is 2.5 kJ per mole of atoms. Its density of states at the Fermi level is 17.178 states/eV/f.u. Its space group is P4/mmm (123).

Question: Number 1 is which compound?
Answer: Pm8In2Pt